Entry 1:
Here is a geometry-optimized LiY2N structure from Alexandria via LeMat-Bulk. Energies are from PBE.

Computed properties:
M_tot	0.31	Bohr magnetons per cell
E	-25.8	eV/cell
Fermi-level density of states	3.6	states/eV per cell
ΔE_f (raw)	-657.0	meV per atom
SG	R-3m (166)

abc: 3.4507 3.4507 9.3095
angles: 79.32 79.32 60.00
With the nearest neighbours (Å) after each atom.
Sites, in units of the cell vectors:
Y1 0.1178 0.1178 0.6466  3 N 2.40
Y2 0.8822 0.8822 0.3534  3 N 2.40
Li1 0.0000 0.0000 0.0000  2 Y 3.21, 6 Li 3.45
N1 0.5000 0.5000 0.5000  6 Y 2.40

Entry 2:
Here is a geometry-optimized LaPm6Y4 structure from Alexandria via LeMat-Bulk. Energies are from PBE.

Computed properties:
M_tot	0.00	Bohr magnetons per cell
calculated formation energy	0.38	eV per atom
E	-55.1	eV/cell
ΔE to the lowest computed polymorph	266	meV/atom
Fermi-level density of states	16.3	states/eV per cell
SG	I-42m (121)

abc: 7.6348 7.6348 8.6923
angles: 116.05 116.05 90.00
With the nearest neighbours (Å) after each atom.
Sites, in units of the cell vectors:
La1 0.5000 0.5000 0.0000  8 Pm 3.55-3.82, 4 Y 3.79
Pm1 0.9163 0.4550 0.3714  1 Y 3.26, 1 La 3.55
Pm2 0.4550 0.9163 0.3714  1 Y 3.26, 1 La 3.55
Pm3 0.5450 0.5450 0.6286  1 Y 3.26, 1 La 3.55
Pm4 0.0000 0.5000 0.0000  4 Y 3.06
Pm5 0.0837 0.0837 0.6286  1 Y 3.26, 1 La 3.55
Pm6 0.5000 0.0000 0.0000  4 Y 3.06
Y1 0.0833 0.7545 0.8378  3 Pm 3.06-3.26, 2 Y 3.34
Y2 0.9167 0.9167 0.1622  3 Pm 3.06-3.26, 2 Y 3.34
Y3 0.7545 0.0833 0.8378  3 Pm 3.06-3.26, 2 Y 3.34
Y4 0.2455 0.2455 0.1622  3 Pm 3.06-3.26, 2 Y 3.34